Record 1
The following is a PBE calculation of a geometry-optimized Mg4TlBi structure, from Alexandria.

Unit cell a=6.0250 b=6.0250 c=6.0250 alpha=60.00 beta=60.00 gamma=60.00
Fractional positions:
Mg 0.6253 0.6253 0.1240
Mg 0.6253 0.1240 0.6253
Mg 0.6253 0.6253 0.6253
Mg 0.1240 0.6253 0.6253
Tl 0.2500 0.2500 0.2500
Bi 0.0000 0.0000 0.0000

The value obtained for the total energy is -12.40 eV for the cell shown. The energy relative to the elements is 37 meV/atom. The distance to the lowest polymorph of the same formula comes out at 94 meV/atom. As for the symmetry: No. 216. As for the total moment: 0.000 μB per formula unit.

=====

Record 2
The following is a PBE calculation of a geometry-optimized Mg4Tl2Bi structure, from Alexandria.

Unit cell a=8.0209 b=7.3269 c=8.1165 alpha=109.11 beta=113.44 gamma=105.62
Fractional positions:
Mg 0.0531 0.2473 0.4364
Mg 0.4154 0.5748 0.3478
Mg 0.8606 0.6827 0.6604
Mg 0.7477 0.0984 0.5932
Mg 0.2596 0.9245 0.2629
Mg 0.3142 0.1825 0.8257
Mg 0.5797 0.8635 0.8499
Mg 0.8346 0.4259 0.0291
Tl 0.5156 0.3806 0.6431
Tl 0.6964 0.7599 0.2091
Tl 0.6088 0.2280 0.2347
Tl 0.1795 0.5451 0.8896
Bi 0.1422 0.7138 0.4984
Bi 0.0427 0.1230 0.0195

The value obtained for the total energy is -30.64 eV for the cell shown. The energy relative to the elements is -47 meV/atom. The distance to the lowest polymorph of the same formula comes out at 0 meV/atom. As for the symmetry: No. 1. As for the total moment: 0.000 μB per formula unit.

=====

Look up the total moment of the first one. 0.000 μB per formula unit

=====

Which of these has the lowest energy relative to the elements? Mg4Tl2Bi